## Li3V4O11F (GGA+U)

Data for a geometry-optimized Li3V4O11F structure.

Output
Energy above the lowest structure with this stoichiometry, meV/atom: 0
Total magnetization, μB/f.u.: 0.00

Unit cell a=4.9783 b=4.9950 c=10.0548 alpha=96.75 beta=95.14 gamma=119.55
Last column: nearest neighbours and their distance in Å.
Space group P1 (No. 1)
Asymmetric unit:
Li1 0.0000 0.0000 0.0000 x1  3 O 2.01-2.02
Li2 0.1474 0.1640 0.3800 x1  4 O 2.01-2.07
Li3 0.6377 0.3058 0.9260 x1  6 O 2.14-2.18
V1 0.2568 0.5838 0.7321 x1  3 O 1.70-1.88
V2 0.3941 0.7358 0.1578 x1  3 O 1.78-1.79
V3 0.7507 0.4263 0.2213 x1  3 O 1.75-1.76
V4 0.8853 0.9207 0.6764 x1  3 O 1.71-1.85
O1 0.0238 0.6562 0.0754 x1  1 V 1.78
O2 0.1173 0.4928 0.2932 x1  1 V 1.75
O3 0.1286 0.1824 0.5857 x1  1 V 1.71
O4 0.2188 0.8976 0.8066 x1  1 V 1.76
O5 0.4050 0.4055 0.0758 x1  1 V 1.78
O6 0.4780 0.1230 0.2942 x1  1 V 1.76
O7 0.5025 0.7890 0.5986 x1  2 V 1.75-1.93
O8 0.5933 0.6389 0.8215 x1  1 V 1.70
O9 0.6556 0.0370 0.0760 x1  1 V 1.79
O10 0.7455 0.7609 0.2940 x1  1 V 1.76
O11 0.9572 0.2546 0.8058 x1  2 V 1.85-1.88
F1 0.8766 0.5490 0.5948 x1  1 V 1.92